1.
First-principles (SCAN) data for a PBEsol-optimized structure of Zn2Sn2Hg, as listed in Alexandria via LeMat-Bulk.

Structure (CIF):
```
data_Zn2Sn2Hg
_symmetry_space_group_name_H-M 'P 4/m b m'
_symmetry_Int_Tables_number 127
_symmetry_space_group_name_Hall '-P 4 2ab'
_cell_length_a 7.1080
_cell_length_b 7.1080
_cell_length_c 4.1399
_cell_angle_alpha 90.00
_cell_angle_beta 90.00
_cell_angle_gamma 90.00
loop_
_atom_site_label
_atom_site_type_symbol
_atom_site_fract_x
_atom_site_fract_y
_atom_site_fract_z
Zn1 Zn 0.1257 0.3744 0.0000
Sn1 Sn 0.1770 0.6770 0.5000
Hg1 Hg 0.0000 0.0000 0.0000
```

Results
- E (eV per atom) = -33.2269
- magnetic moment (μB/cell) = 0.0
- DOS(E_F) (states/eV/f.u.) = 2.4



2.
First-principles (SCAN) data for a PBEsol-optimized structure of YPb2, as listed in Alexandria via LeMat-Bulk.

Structure (CIF):
```
data_YPb2
_symmetry_space_group_name_H-M 'P 4/m m m'
_symmetry_Int_Tables_number 123
_symmetry_space_group_name_Hall '-P 4 2'
_cell_length_a 5.2836
_cell_length_b 5.2836
_cell_length_c 3.4649
_cell_angle_alpha 90.00
_cell_angle_beta 90.00
_cell_angle_gamma 90.00
loop_
_atom_site_label
_atom_site_type_symbol
_atom_site_fract_x
_atom_site_fract_y
_atom_site_fract_z
Y1 Y 0.0000 0.0000 0.0000
Pb1 Pb 0.0000 0.5000 0.5000
```

Results
- E (eV per atom) = -60.2217
- magnetic moment (μB/cell) = 0.0
- DOS(E_F) (states/eV/f.u.) = 1.8



3.
First-principles (SCAN) data for a PBEsol-optimized structure of CrRhN2, as listed in Alexandria via LeMat-Bulk.

Structure (CIF):
```
data_CrRhN2
_symmetry_space_group_name_H-M 'F m -3 m'
_symmetry_Int_Tables_number 225
_symmetry_space_group_name_Hall '-F 4 2 3'
_cell_length_a 5.1595
_cell_length_b 5.1595
_cell_length_c 5.1595
_cell_angle_alpha 90.00
_cell_angle_beta 90.00
_cell_angle_gamma 90.00
loop_
_atom_site_label
_atom_site_type_symbol
_atom_site_fract_x
_atom_site_fract_y
_atom_site_fract_z
Cr1 Cr 0.0000 0.0000 0.0000
Rh1 Rh 0.0000 0.0000 0.5000
N1 N 0.2500 0.2500 0.2500
```

Results
- distance to the lowest polymorph of the same formula (eV/atom) = 0.315
- formation energy from raw total energies (eV per atom) = 0.81
- magnetic moment (μB/cell) = 0.0
- DOS(E_F) (states/eV/f.u.) = 3.6



4.
First-principles (SCAN) data for a PBEsol-optimized structure of FeRe2Pb, as listed in Alexandria via LeMat-Bulk.

Structure (CIF):
```
data_FeRe2Pb
_symmetry_space_group_name_H-M 'R -3 m'
_symmetry_Int_Tables_number 166
_symmetry_space_group_name_Hall '-R 3 2"'
_cell_length_a 2.8449
_cell_length_b 2.8449
_cell_length_c 27.2748
_cell_angle_alpha 90.00
_cell_angle_beta 90.00
_cell_angle_gamma 120.00
loop_
_atom_site_label
_atom_site_type_symbol
_atom_site_fract_x
_atom_site_fract_y
_atom_site_fract_z
Fe1 Fe 0.0000 0.0000 0.0000
Re1 Re 0.0000 0.0000 0.2622
Pb1 Pb 0.0000 0.0000 0.5000
```

Results
- E (eV per atom) = -58.1865
- magnetic moment (μB/cell) = 5.6
- DOS(E_F) (states/eV/f.u.) = 2.9